# 1
VASP calculation (SCAN) on TcP2Br at its PBEsol-relaxed geometry.

CIF file:
```
data_TcP2Br
_chemical_formula_sum 'Tc1 P2 Br1'
_cell_length_a 3.503
_cell_length_b 4.395
_cell_length_c 4.753
_cell_angle_alpha 90.00
_cell_angle_beta 106.08
_cell_angle_gamma 90.00
_space_group_name_H-M_alt 'P 1 2/m 1'
_space_group_IT_number 10
loop_
_space_group_symop_operation_xyz
'x,y,z'
'-x,-y,-z'
'-x,y,-z'
'x,-y,z'
loop_
_atom_site_label
_atom_site_fract_x
_atom_site_fract_y
_atom_site_fract_z
Tc1 0.000 0.000 0.000
P1 0.193 0.500 0.851
Br1 0.500 0.000 0.500
```

---

# 2
VASP calculation (SCAN) on TcP2Br at its PBEsol-relaxed geometry.

CIF file:
```
data_TcP2Br
_chemical_formula_sum 'Tc4 P8 Br4'
_cell_length_a 6.189
_cell_length_b 6.189
_cell_length_c 6.189
_cell_angle_alpha 90.00
_cell_angle_beta 90.00
_cell_angle_gamma 90.00
_space_group_name_H-M_alt 'F -4 3 m'
_space_group_IT_number 216
_space_group_name_Hall 'F -4 2 3'
loop_
_atom_site_label
_atom_site_fract_x
_atom_site_fract_y
_atom_site_fract_z
Tc1 0.000 0.000 0.000
P1 0.000 0.000 0.500
P2 0.250 0.250 0.750
Br1 0.250 0.250 0.250
```

---

# 3
VASP calculation (SCAN) on TcP2Br at its PBEsol-relaxed geometry.

CIF file:
```
data_TcP2Br
_chemical_formula_sum 'Tc2 P4 Br2'
_cell_length_a 2.906
_cell_length_b 4.647
_cell_length_c 10.075
_cell_angle_alpha 90.00
_cell_angle_beta 90.00
_cell_angle_gamma 90.00
_space_group_name_H-M_alt 'I m m m'
_space_group_IT_number 71
_space_group_name_Hall '-I 2 2'
loop_
_atom_site_label
_atom_site_fract_x
_atom_site_fract_y
_atom_site_fract_z
Tc1 0.000 0.000 0.000
P1 0.000 0.500 0.308
Br1 0.000 0.000 0.500
```

---

Sequential relative energy among the computed polymorphs output: 0.000, 0.591, 0.244 eV/atom
Sequential D(E_F) output: 0.694, 0.584, 0.665 states/eV per atom
Sequential volume output: 17.58, 14.82, 17.01 A^3/atom